1.
Material: Li5B4
Method: DFT, PBE-GGA
State: relaxed

Properties
ΔE_f	0.509	eV/atom
total energy	-0.1294	hartree per atom
energy relative to the lowest polymorph listed for this composition	2.79	eV/f.u.

Geometry as extended XYZ:
```
9
Lattice="-1.770 3.923 2.113 -3.579 -2.255 2.257 2.351 -0.592 4.136" Properties=species:S:1:pos:R:3 pbc="T T T"
B -2.771 -1.093 3.207
B -0.074 0.027 0.211
B 0.725 -0.112 4.315
B -1.704 2.550 3.122
Li -0.925 0.332 2.626
Li -0.580 1.746 5.079
Li -3.157 1.023 4.262
Li -2.361 0.847 6.701
Li -1.366 -0.938 5.141
```



2.
Material: YTm4Th
Method: DFT, PBE-GGA
State: relaxed

Properties
ΔE_f	0.002	eV/atom
total energy	-0.1945	hartree per atom
energy relative to the lowest polymorph listed for this composition	0.00	eV/f.u.

Geometry as extended XYZ:
```
12
Lattice="3.551 0.000 0.000 -1.776 9.149 0.000 0.000 0.000 11.378" Properties=species:S:1:pos:R:3 pbc="T T T"
Th 0.000 6.124 3.040
Th 1.776 3.025 8.729
Tm 0.000 8.152 5.882
Tm 1.776 0.997 0.193
Tm 0.000 6.076 8.745
Tm 1.776 9.125 3.068
Tm 1.776 7.114 0.252
Tm 1.776 3.073 3.057
Tm 0.000 0.024 8.757
Tm 0.000 2.034 5.941
Y 1.776 5.108 5.874
Y 0.000 4.041 0.185
```



3.
Material: Tl2InPt
Method: DFT, PBE-GGA
State: relaxed

Properties
ΔE_f	-0.051	eV/atom
total energy	-0.1260	hartree per atom
energy relative to the lowest polymorph listed for this composition	0.24	eV/f.u.

Geometry as extended XYZ:
```
4
Lattice="-1.285 2.749 2.586 -1.900 -4.463 3.801 3.088 -2.824 4.537" Properties=species:S:1:pos:R:3 pbc="T T T"
In -0.345 -0.447 3.378
Pt 0.249 -4.091 7.547
Tl 0.681 -4.179 4.781
Tl 1.101 -6.753 7.726
```



4.
Material: NbRuSe3
Method: DFT, PBE-GGA
State: relaxed

Properties
total energy	-0.1955	hartree per atom
formation energy without anion corrections	3.2	eV per formula unit
energy relative to the lowest polymorph listed for this composition	5.73	eV/f.u.

Geometry as extended XYZ:
```
5
Lattice="5.018 0.000 0.000 0.000 5.018 0.000 0.000 0.000 5.018" Properties=species:S:1:pos:R:3 pbc="T T T"
Ru 2.509 2.509 2.509
Nb 0.000 0.000 0.000
Se 2.509 0.000 0.000
Se 0.000 0.000 2.509
Se 0.000 2.509 0.000
```



5.
Material: Mn2VFe6
Method: DFT, PBE-GGA
State: relaxed

Properties
ΔE_f	0.172	eV/atom
total energy	-0.3131	hartree per atom

Geometry as extended XYZ:
```
18
Lattice="0.534 2.864 -3.704 -5.067 -6.159 -0.256 -3.436 2.570 6.731" Properties=species:S:1:pos:R:3 pbc="T T T"
Fe -7.180 -2.821 2.747
Fe -5.068 0.260 0.807
Fe -2.901 -0.986 1.964
Fe -4.082 -2.035 0.037
Fe -5.325 -1.119 2.701
Fe -0.789 2.096 0.024
Fe -1.493 -1.685 -0.004
Fe -3.887 1.309 2.735
Fe -6.476 0.960 2.775
Fe -4.772 -3.427 1.939
Fe -2.644 0.393 0.070
Fe -3.197 2.702 0.833
Mn -6.340 -1.930 0.582
Mn -1.953 -0.529 -2.196
Mn -1.629 1.205 2.190
Mn -6.016 -0.197 4.967
V -3.402 2.750 5.377
V -4.567 -3.476 -2.606
```



Repeat the first record exactly.
Material: Li5B4
Method: DFT, PBE-GGA
State: relaxed

Properties
ΔE_f	0.509	eV/atom
total energy	-0.1294	hartree per atom
energy relative to the lowest polymorph listed for this composition	2.79	eV/f.u.

Geometry as extended XYZ:
```
9
Lattice="-1.770 3.923 2.113 -3.579 -2.255 2.257 2.351 -0.592 4.136" Properties=species:S:1:pos:R:3 pbc="T T T"
B -2.771 -1.093 3.207
B -0.074 0.027 0.211
B 0.725 -0.112 4.315
B -1.704 2.550 3.122
Li -0.925 0.332 2.626
Li -0.580 1.746 5.079
Li -3.157 1.023 4.262
Li -2.361 0.847 6.701
Li -1.366 -0.938 5.141
```



Look up the total energy of the second one.
-0.1945 hartree per atom